This record from Alexandria via LeMat-Bulk describes a geometry-optimized Pm7Pr3Tl2 structure. The functional is PBE-GGA.

a b c (Å): 3.6844 5.8515 18.8190
angles (deg): 94.13 90.00 90.00
Closest atoms and distances in Å follow each position.
Positions (direct):
Pr 0.0000 0.2166 0.3583  4 Tl 3.63-3.66, 2 Pr 3.68, 8 Pm 3.79-4.04
Pr 0.0000 0.7834 0.6417  4 Tl 3.63-3.66, 2 Pr 3.68, 8 Pm 3.79-4.04
Pr 0.5000 0.5000 0.0000  10 Pm 3.46-3.75, 2 Pr 3.68
Tl 0.5000 0.3001 0.7033  3 Pm 3.16-3.25
Tl 0.5000 0.6999 0.2967  3 Pm 3.16-3.25
Pm 0.5000 0.1861 0.1670  8 Pm 3.46-3.74, 1 Tl 3.73, 1 Pr 3.75
Pm 0.0000 0.0000 0.0000  4 Pr 3.46, 8 Pm 3.56-3.74
Pm 0.0000 0.6820 0.1540  2 Tl 3.25, 5 Pm 3.46-3.56, 2 Pr 3.53
Pm 0.5000 0.8139 0.8330  8 Pm 3.46-3.74, 1 Tl 3.73, 1 Pr 3.75
Pm 0.5000 0.2585 0.5347  1 Tl 3.16, 2 Pm 3.20-3.21
Pm 0.5000 0.7415 0.4653  1 Tl 3.16, 2 Pm 3.20-3.21
Pm 0.0000 0.3180 0.8460  2 Tl 3.25, 5 Pm 3.46-3.56, 2 Pr 3.53

- Final energy: -4.39 eV/atom

This record from Alexandria via LeMat-Bulk describes a geometry-optimized BaInPt3 structure. The functional is PBE-GGA.

a b c (Å): 5.1006 5.1006 5.1006
angles (deg): 90.00 90.00 90.00
Closest atoms and distances in Å follow each position.
Positions (direct):
Ba 0.5000 0.5000 0.5000  12 Pt 3.61
Pt 0.0000 0.5000 0.0000  2 In 2.55
Pt 0.5000 0.0000 0.0000  2 In 2.55
Pt 0.0000 0.0000 0.5000  2 In 2.55
In 0.0000 0.0000 0.0000  6 Pt 2.55

- E above lowest polymorph: 0.0 kJ/mol of formula units
- Final energy: -4.55 eV/atom

This record from Alexandria via LeMat-Bulk describes a geometry-optimized K4IN12 structure. The functional is PBE-GGA.

a b c (Å): 8.2403 8.2403 8.2403
angles (deg): 109.47 109.47 109.47
Closest atoms and distances in Å follow each position.
Positions (direct):
K 0.0000 0.5000 0.0000  6 N 2.99
K 0.5000 0.0000 0.0000  6 N 2.99
K 0.0000 0.0000 0.5000  6 N 2.99
K 0.5000 0.5000 0.5000  6 N 2.99
N 0.4397 0.2049 0.7652  1 N 1.15
N 0.7652 0.4397 0.2049  1 N 1.15
N 0.4397 0.6746 0.2348  1 N 1.15
N 0.7652 0.5603 0.3254  1 N 1.15
N 0.2348 0.5603 0.7951  1 N 1.15
N 0.2348 0.4397 0.6746  1 N 1.15
N 0.6746 0.2348 0.4397  1 N 1.15
N 0.5603 0.7951 0.2348  1 N 1.15
N 0.3254 0.7652 0.5603  1 N 1.15
N 0.5603 0.3254 0.7652  1 N 1.15
N 0.2049 0.7652 0.4397  1 N 1.15
N 0.7951 0.2348 0.5603  1 N 1.15
I 0.0000 0.0000 0.0000  8 K 4.12

- Raw formation energy: -0.2167 eV per atom
- Final energy: -6.44 eV/atom

This record from Alexandria via LeMat-Bulk describes a geometry-optimized BaSrIn2Au2 structure. The functional is PBE-GGA.

a b c (Å): 4.9499 4.9499 8.4086
angles (deg): 90.00 90.00 120.00
Closest atoms and distances in Å follow each position.
Positions (direct):
In 0.3333 0.6667 0.2756  3 Au 2.86
In 0.6667 0.3333 0.7244  3 Au 2.86
Sr 0.0000 0.0000 0.5000  6 Au 3.41, 6 In 3.42
Ba 0.0000 0.0000 0.0000  6 In 3.68, 6 Au 3.69
Au 0.6667 0.3333 0.2782  3 In 2.86
Au 0.3333 0.6667 0.7218  3 In 2.86

- Final energy: -3.20 eV/atom

This record from Alexandria via LeMat-Bulk describes a geometry-optimized Zn2FeOs structure. The functional is PBE-GGA.

a b c (Å): 4.6374 4.6374 4.6443
angles (deg): 80.68 80.68 33.19
Closest atoms and distances in Å follow each position.
Positions (direct):
Fe 0.2500 0.2500 0.2500  2 Fe 2.65, 6 Zn 2.66-2.67, 4 Os 2.67
Zn 0.9987 0.9987 0.0048  6 Zn 2.64-2.71, 3 Fe 2.66-2.67, 3 Os 2.68-2.69
Zn 0.5013 0.5013 0.4952  6 Zn 2.64-2.71, 3 Fe 2.66-2.67, 3 Os 2.68-2.69
Os 0.7500 0.7500 0.7500  2 Os 2.65, 4 Fe 2.67, 6 Zn 2.68-2.69

- E above lowest polymorph: 32.2 kJ/mol of formula units
- Final energy: -5.42 eV/atom

This record from Alexandria via LeMat-Bulk describes a geometry-optimized TaNiW2 structure. The functional is PBE-GGA.

a b c (Å): 7.1778 7.1778 5.6896
angles (deg): 50.89 50.89 90.00
Closest atoms and distances in Å follow each position.
Positions (direct):
Ta 0.7500 0.2500 0.5000  2 Ni 2.57, 4 W 2.78
Ta 0.0000 0.0000 0.0000  2 Ni 2.57, 4 W 2.78
W 0.1567 0.6250 0.2500  2 Ni 2.47, 2 W 2.61
W 0.8750 0.8433 0.7500  2 Ni 2.47, 2 W 2.61
W 0.5933 0.1250 0.2500  2 Ni 2.47, 2 W 2.61
W 0.3750 0.4067 0.7500  2 Ni 2.47, 2 W 2.61
Ni 0.5000 0.5000 0.0000  4 W 2.47, 2 Ta 2.57
Ni 0.2500 0.7500 0.5000  4 W 2.47, 2 Ta 2.57

- E above lowest polymorph: 276.8 kJ/mol of formula units
- Final energy: -10.18 eV/atom

This record from Alexandria via LeMat-Bulk describes a geometry-optimized LuSc2Se structure. The functional is PBE-GGA.

a b c (Å): 3.5812 3.5812 9.1349
angles (deg): 78.70 78.70 60.00
Closest atoms and distances in Å follow each position.
Positions (direct):
Lu 0.5000 0.5000 0.5000  6 Sc 3.42, 6 Lu 3.58
Se 0.0000 0.0000 0.0000  6 Sc 2.70
Sc 0.7315 0.7315 0.8055  3 Se 2.70
Sc 0.2685 0.2685 0.1945  3 Se 2.70

- E above lowest polymorph: 0.0 kJ/mol of formula units
- Raw formation energy: -0.7183 eV per atom
- Final energy: -5.89 eV/atom

This record from Alexandria via LeMat-Bulk describes a geometry-optimized KRhSe2O8 structure. The functional is PBE-GGA.

a b c (Å): 4.9826 4.9826 9.0655
angles (deg): 74.05 74.05 60.00
Closest atoms and distances in Å follow each position.
Positions (direct):
O 0.3803 0.7281 0.8559  1 Se 1.71
O 0.0358 0.3803 0.8559  1 Se 1.71
O 0.2719 0.9642 0.1441  1 Se 1.71
O 0.7984 0.7984 0.6049  1 Se 1.65
O 0.2016 0.2016 0.3951  1 Se 1.65
O 0.9642 0.6197 0.1441  1 Se 1.71
O 0.6197 0.2719 0.1441  1 Se 1.71
O 0.7281 0.0358 0.8559  1 Se 1.71
K 0.5000 0.5000 0.5000  6 O 3.01
Se 0.2656 0.2656 0.2032  4 O 1.65-1.71
Se 0.7344 0.7344 0.7968  4 O 1.65-1.71
Rh 0.0000 0.0000 0.0000  6 O 2.04

- Raw formation energy: -0.8315 eV per atom
- Final energy: -5.42 eV/atom